Rb3PdCl8: optimized geometry, PBE.

a b c (Å): 8.463 10.012 10.012
angles (deg): 120.00 90.00 90.00
Each line ends with the local moment (μB).
Atoms (fractional coordinates):
1 Cl 0.488 0.556 0.112  0.06
2 Cl 0.966 0.000 0.000  0.08
3 Cl 0.466 0.000 0.000  0.08
4 Cl 0.488 0.556 0.444  0.06
5 Cl 0.488 0.888 0.444  0.06
6 Cl 0.988 0.444 0.556  0.06
7 Cl 0.305 0.557 0.779  0.07
8 Cl 0.805 0.779 0.557  0.07
9 Cl 0.305 0.221 0.779  0.07
10 Cl 0.639 0.333 0.667  0.48
11 Cl 0.139 0.667 0.333  0.48
12 Cl 0.805 0.443 0.221  0.07
13 Cl 0.988 0.444 0.888  0.06
14 Cl 0.305 0.221 0.443  0.07
15 Cl 0.805 0.779 0.221  0.07
16 Cl 0.988 0.112 0.556  0.06
17 Pd 0.146 0.333 0.667  0.04
18 Pd 0.646 0.667 0.333  0.04
19 Rb 0.714 0.152 0.848  0.00
20 Rb 0.714 0.152 0.304  0.00
21 Rb 0.214 0.304 0.152  0.00
22 Rb 0.714 0.696 0.848  0.00
23 Rb 0.214 0.848 0.696  0.00
24 Rb 0.214 0.848 0.152  0.00

formation energy without anion corrections = -1.09 eV per atom
SG = P6_3mc
mass density = 2.922 g/cm³
magnetic moment = 1.26 μB/f.u.
energy = -71.905 eV for the cell shown